Material: CaPb2
Method: DFT, PBE
State: relaxed

Geometry as extended XYZ:
```
3
Lattice="3.7006 0.0000 0.0000 -1.8503 3.2048 0.0000 0.0000 0.0000 8.1880" Properties=species:S:1:pos:R:3 pbc="T T T"
Ca 0.0000 0.0000 0.0000
Pb 0.0000 2.1365 2.7322
Pb 1.8503 1.0683 5.4558
```

Summary:
As for the formation energy: -12.34 kJ/mol of atoms. The space group is P-3m1.

Material: YPu2ThN4
Method: DFT, PBE
State: relaxed

Geometry as extended XYZ:
```
8
Lattice="6.1020 0.0000 0.0000 0.0000 3.5424 0.0000 -2.0986 0.0000 5.7617" Properties=species:S:1:pos:R:3 pbc="T T T"
Y 0.0000 0.0000 0.0000
Pu 2.0017 0.0000 2.8809
Pu 3.0510 1.7712 0.0000
Th -1.0493 1.7712 2.8809
N -0.0257 0.0000 4.3948
N 1.0465 1.7712 1.4591
N 2.9569 1.7712 4.3027
N 4.0291 0.0000 1.3670
```

Summary:
As for the uncorrected formation energy: -1.397 eV/atom. The space group is P2/m.

Material: K3CoCl5
Method: DFT, PBE
State: relaxed

Geometry as extended XYZ:
```
18
Lattice="-4.3214 4.3214 7.0158 4.3214 -4.3214 7.0158 4.3214 4.3214 -7.0158" Properties=species:S:1:pos:R:3 pbc="T T T"
K 5.7459 1.4245 0.0000
K 0.0000 0.0000 3.5079
K 1.4245 2.8969 0.0000
K 2.8969 1.4245 7.0158
K 0.0000 0.0000 10.5237
K -1.4245 2.8969 7.0158
Co 4.3214 0.0000 3.5079
Co 0.0000 4.3214 3.5079
Cl 0.0000 0.0000 0.0000
Cl 5.5689 -1.2475 2.1150
Cl 3.0739 -1.2475 4.9008
Cl 3.0739 1.2475 2.1150
Cl 5.5689 1.2475 4.9008
Cl 0.0000 0.0000 7.0158
Cl -1.2475 3.0739 2.1150
Cl 1.2475 3.0739 4.9008
Cl 1.2475 5.5689 2.1150
Cl -1.2475 5.5689 4.9008
```

Summary:
As for the uncorrected formation energy: -1.502 eV/atom. The space group is I4/mcm.

Material: BaCr3
Method: DFT, PBE
State: relaxed

Geometry as extended XYZ:
```
8
Lattice="7.6324 0.0000 0.0000 -3.8162 6.6099 0.0000 0.0000 0.0000 3.8379" Properties=species:S:1:pos:R:3 pbc="T T T"
Ba 0.0000 4.4066 0.9595
Ba 3.8162 2.2033 2.8785
Cr 0.0000 1.3711 2.8785
Cr -2.6288 5.9244 2.8785
Cr 1.1874 0.6855 0.9595
Cr 2.6288 5.9244 2.8785
Cr 6.4451 0.6855 0.9595
Cr 3.8162 5.2388 0.9595
```

Summary:
As for the formation energy: 81.59 kJ/mol of atoms. The space group is P6_3/mmc.